1.
SrMgInRh | PBE | relaxed

Cell lengths 4.6490, 4.6490, 16.9106 Å; angles 90.00, 90.00, 120.00 degrees
Last column: nearest neighbours and their distance in Å.
Space group R3m (No. 160, hexagonal axes)
Symmetry-distinct sites (fractional):
Sr 0.0000 0.0000 0.0000 (multiplicity 3)  1 Rh 3.15, 4 In 3.42-3.48
Mg 0.0000 0.0000 0.4704 (multiplicity 3)  3 Rh 2.69, 3 In 2.90
In 0.0000 0.0000 0.2025 (multiplicity 3)  3 Rh 2.84, 3 Mg 2.90
Rh 0.0000 0.0000 0.8135 (multiplicity 3)  3 Mg 2.69, 3 In 2.84

Properties
* ΔE_f: -0.3518 eV per atom
* density of states at the Fermi level: 11.363 states/eV/cell
* ρ: 5.19 Mg/m³

=====

2.
SrMg2InRh | PBE | relaxed

Cell lengths 5.0521, 5.0521, 5.1888 Å; angles 90.00, 90.00, 90.00 degrees
Last column: nearest neighbours and their distance in Å.
Space group P4/mmm (No. 123)
Symmetry-distinct sites (fractional):
Sr 0.0000 0.0000 0.0000 (multiplicity 1)  4 In 3.57, 8 Mg 3.62
Mg 0.0000 0.5000 0.5000 (multiplicity 2)  2 Rh 2.53
In 0.5000 0.5000 0.0000 (multiplicity 1)  2 Rh 2.59
Rh 0.5000 0.5000 0.5000 (multiplicity 1)  4 Mg 2.53, 2 In 2.59

Properties
* ΔE_f: -0.3289 eV per atom
* density of states at the Fermi level: 3.126 states/eV/cell
* ρ: 4.44 Mg/m³

=====

3.
ThMgInRh | PBE | relaxed

Cell lengths 7.1219, 7.1219, 7.1219 Å; angles 90.00, 90.00, 90.00 degrees
Last column: nearest neighbours and their distance in Å.
Space group F-43m (No. 216)
Symmetry-distinct sites (fractional):
Th 0.0000 0.0000 0.0000 (multiplicity 4)  4 In 3.08, 4 Rh 3.08
Mg 0.0000 0.0000 0.5000 (multiplicity 4)  4 In 3.08, 4 Rh 3.08
In 0.2500 0.2500 0.7500 (multiplicity 4)  4 Th 3.08, 4 Mg 3.08
Rh 0.2500 0.2500 0.2500 (multiplicity 4)  4 Th 3.08, 4 Mg 3.08

Properties
* ΔE_f: -0.3528 eV per atom
* density of states at the Fermi level: 9.293 states/eV/cell
* ρ: 8.72 Mg/m³

=====

4.
MgTiInRh | PBE | relaxed

Cell lengths 3.0791, 3.0791, 7.6050 Å; angles 90.00, 90.00, 90.00 degrees
Last column: nearest neighbours and their distance in Å.
Space group P4mm (No. 99)
Symmetry-distinct sites (fractional):
Mg 0.0000 0.0000 0.0000 (multiplicity 1)  4 Rh 2.78, 4 Mg 3.08
Ti 0.0000 0.0000 0.5814 (multiplicity 1)  4 Rh 2.61
In 0.5000 0.5000 0.3076 (multiplicity 1)  4 Ti 3.01, 4 In 3.08, 4 Mg 3.20
Rh 0.5000 0.5000 0.7718 (multiplicity 1)  4 Ti 2.61, 4 Mg 2.78

Properties
* ΔE_f: -0.4549 eV per atom
* density of states at the Fermi level: 1.791 states/eV/cell
* ρ: 6.68 Mg/m³